No. 1
# ErB (PBE, optimized geometry)
data_ErB
_space_group_name_H-M_alt 'P 1 21/m 1'
_space_group_IT_number 11
_cell_length_a 3.510
_cell_length_b 3.179
_cell_length_c 6.567
_cell_angle_alpha 90.00
_cell_angle_beta 105.57
_cell_angle_gamma 90.00
loop_
_space_group_symop_operation_xyz
'x,y,z'
'-x,-y,-z'
'-x,y+1/2,-z'
'x,-y+1/2,z'
loop_
_atom_site_label
_atom_site_fract_x
_atom_site_fract_y
_atom_site_fract_z
Er1 0.126 0.250 0.252
B1 0.475 0.250 0.951
# total moment	0.00	μB/f.u.
# formation enthalpy at 0 K	-0.41	eV/atom

---

No. 2
# ErB2 (PBE, optimized geometry)
data_ErB2
_space_group_name_H-M_alt 'I 41/a m d'
_space_group_IT_number 141
_cell_length_a 3.528
_cell_length_b 3.528
_cell_length_c 11.457
_cell_angle_alpha 90.00
_cell_angle_beta 90.00
_cell_angle_gamma 90.00
loop_
_space_group_symop_operation_xyz
'x,y,z'
'-x,-y,-z'
'-y+1/4,x+3/4,z+1/4'
'y+1/4,-x+3/4,-z+1/4'
'-x+1/2,-y,z+1/2'
'x+1/2,y,-z+1/2'
'y+1/4,-x+1/4,z+3/4'
'-y+1/4,x+1/4,-z+3/4'
'x,-y,-z'
'-x,y,z'
'-y+1/4,-x+1/4,-z+3/4'
'y+1/4,x+1/4,z+3/4'
'-x+1/2,y,-z+1/2'
'x+1/2,-y,z+1/2'
'y+1/4,x+3/4,-z+1/4'
'-y+1/4,-x+3/4,z+1/4'
'x+1/2,y+1/2,z+1/2'
'-x+1/2,-y+1/2,-z+1/2'
'-y+3/4,x+1/4,z+3/4'
'y+3/4,-x+1/4,-z+3/4'
'-x,-y+1/2,z'
'x,y+1/2,-z'
'y+3/4,-x+3/4,z+1/4'
'-y+3/4,x+3/4,-z+1/4'
'x+1/2,-y+1/2,-z+1/2'
'-x+1/2,y+1/2,z+1/2'
'-y+3/4,-x+3/4,-z+1/4'
'y+3/4,x+3/4,z+1/4'
'-x,y+1/2,-z'
'x,-y+1/2,z'
'y+3/4,x+1/4,-z+3/4'
'-y+3/4,-x+1/4,z+3/4'
loop_
_atom_site_label
_atom_site_fract_x
_atom_site_fract_y
_atom_site_fract_z
Er1 0.000 0.250 0.375
B1 0.000 0.250 0.796
# total moment	0.00	μB/f.u.
# polymorph energy (0 for the lowest one)	149.0	meV per atom
# formation enthalpy at 0 K	-0.48	eV/atom

---

No. 3
# Er4B (PBE, optimized geometry)
data_Er4B
_space_group_name_H-M_alt 'P m -3 m'
_space_group_IT_number 221
_space_group_name_Hall '-P 4 2 3'
_cell_length_a 5.108
_cell_length_b 5.108
_cell_length_c 5.108
_cell_angle_alpha 90.00
_cell_angle_beta 90.00
_cell_angle_gamma 90.00
loop_
_atom_site_label
_atom_site_fract_x
_atom_site_fract_y
_atom_site_fract_z
Er1 0.000 0.000 0.000
Er2 0.000 0.500 0.500
B1 0.500 0.500 0.500
# total moment	0.00	μB/f.u.
# formation enthalpy at 0 K	0.06	eV/atom

---

No. 4
# ErB2 (PBE, optimized geometry)
data_ErB2
_space_group_name_H-M_alt 'I 4/m m m'
_space_group_IT_number 139
_space_group_name_Hall '-I 4 2'
_cell_length_a 2.830
_cell_length_b 2.830
_cell_length_c 9.082
_cell_angle_alpha 90.00
_cell_angle_beta 90.00
_cell_angle_gamma 90.00
loop_
_atom_site_label
_atom_site_fract_x
_atom_site_fract_y
_atom_site_fract_z
Er1 0.000 0.000 0.000
B1 0.000 0.000 0.285
# total moment	0.00	μB/f.u.
# polymorph energy (0 for the lowest one)	1320.6	meV per atom
# formation enthalpy at 0 K	0.69	eV/atom

---

No. 5
# Er3B11 (PBE, optimized geometry)
data_Er3B11
_space_group_name_H-M_alt 'I m m m'
_space_group_IT_number 71
_space_group_name_Hall '-I 2 2'
_cell_length_a 3.264
_cell_length_b 5.607
_cell_length_c 14.500
_cell_angle_alpha 90.00
_cell_angle_beta 90.00
_cell_angle_gamma 90.00
loop_
_atom_site_label
_atom_site_fract_x
_atom_site_fract_y
_atom_site_fract_z
Er1 0.000 0.000 0.000
Er2 0.000 0.000 0.244
B1 0.000 0.162 0.500
B2 0.000 0.322 0.382
B3 0.000 0.341 0.121
B4 0.000 0.500 0.000
# total moment	0.00	μB/f.u.
# formation enthalpy at 0 K	-0.28	eV/atom

---

No. 6
# ErB6 (PBE, optimized geometry)
data_ErB6
_space_group_name_H-M_alt 'I m -3 m'
_space_group_IT_number 229
_space_group_name_Hall '-I 4 2 3'
_cell_length_a 4.997
_cell_length_b 4.997
_cell_length_c 4.997
_cell_angle_alpha 90.00
_cell_angle_beta 90.00
_cell_angle_gamma 90.00
loop_
_atom_site_label
_atom_site_fract_x
_atom_site_fract_y
_atom_site_fract_z
Er1 0.000 0.000 0.000
B1 0.000 0.250 0.500
# total moment	0.00	μB/f.u.
# polymorph energy (0 for the lowest one)	308.5	meV per atom
# formation enthalpy at 0 K	-0.05	eV/atom